Computed, not measured: a geometry-optimized LaTc2Br structure at the PBE level of DFT.

Properties
- E_form (uncorrected) (eV per formula unit) = -0.12
- raw total energy (eV per atom) = -6.863
- magnetic moment (μB per formula unit) = 0.000
- volume (Å³/cell) = 88
- excess energy over the best structure of this formula in the dataset (meV per atom) = 48
- DOS at the Fermi energy (states/eV/cell) = 2.720

```
LaTc2Br
1.0
3.270 0.000 0.000
0.000 3.270 0.000
0.000 0.000 8.251
La Tc Br
1 2 1
direct
0.000 0.000 0.000
0.000 0.000 0.410
0.500 0.500 0.273
0.500 0.500 0.744
```